NaSiAsH2: optimized geometry, GGA-PBE.

The structure in POSCAR format:
```
NaSiAsH2
1.0
3.892 0.000 0.000
0.000 3.892 0.000
0.000 0.000 5.104
Na Si As H
1 1 1 2
Direct
0.000 0.000 0.000
0.500 0.500 0.000
0.500 0.500 0.500
0.000 0.500 0.500
0.500 0.000 0.500
```

## Properties
* space-group type: No. 123
* VASP energy: -3.14 eV per atom
* magnetization: 0.0 μB per formula unit

Na2SnAsH: optimized geometry, GGA-PBE.

The structure in POSCAR format:
```
Na2SnAsH
1.0
4.484 0.000 0.000
0.000 4.484 0.000
0.000 0.000 4.780
Na Sn As H
2 1 1 1
Direct
0.000 0.500 0.000
0.500 0.000 0.000
0.000 0.000 0.500
0.500 0.500 0.500
0.000 0.000 0.000
```

## Properties
* space-group type: No. 123
* VASP energy: -3.09 eV per atom
* magnetization: 0.0 μB per formula unit

What is the VASP energy in the second record? -3.09 eV per atom